1.
{
  "formula": "Pd2OF3",
  "functional": "PBE-GGA",
  "state": "optimized geometry",
  "vol_a3_per_atom": 12.1,
  "final_energy_ev_per_atom": -4.37,
  "lattice_angstrom": [[-3.067, -3.388, 0.360], [2.197, -1.818, 1.609], [-1.296, 2.118, 4.163]],
  "species": ["Pd", "Pd", "F", "F", "F", "O"],
  "frac_coords": [[0.516, 0.000, 0.512], [0.979, 0.500, 0.981], [0.247, 0.000, 0.156], [0.257, 0.500, 0.663], [0.746, 0.500, 0.332], [0.755, 0.000, 0.856]]
}


2.
{
  "formula": "HoAl2Ga2Ni",
  "functional": "PBE-GGA",
  "state": "optimized geometry",
  "vol_a3_per_atom": 17.0,
  "final_energy_ev_per_atom": -4.47,
  "lattice_angstrom": [[-4.280, -1.499, 6.491], [3.188, -2.426, -6.830], [5.428, -1.784, 3.167]],
  "species": ["Ho", "Al", "Ga", "Al", "Ga", "Al", "Ga", "Ho", "Al", "Ni", "Ga", "Ni"],
  "frac_coords": [[0.122, 0.878, 0.250], [0.500, 0.500, 0.000], [0.683, 0.317, 0.551], [0.927, 0.073, 0.250], [0.683, 0.317, 0.949], [0.500, 0.500, 0.500], [0.317, 0.683, 0.051], [0.878, 0.122, 0.750], [0.073, 0.927, 0.750], [0.775, 0.225, 0.250], [0.317, 0.683, 0.449], [0.225, 0.775, 0.750]]
}


3.
{
  "formula": "NaYPtPb",
  "functional": "PBE-GGA",
  "state": "optimized geometry",
  "vol_a3_per_atom": 21.5,
  "final_energy_ev_per_atom": -4.93,
  "lattice_angstrom": [[0.000, 3.502, 3.502], [3.502, 0.000, 3.502], [3.502, 3.502, 0.000]],
  "species": ["Y", "Pt", "Pb", "Na"],
  "frac_coords": [[0.000, 0.000, 0.000], [0.250, 0.250, 0.250], [0.500, 0.500, 0.500], [0.750, 0.750, 0.750]]
}


4.
{
  "formula": "HoPdW",
  "functional": "PBE-GGA",
  "state": "optimized geometry",
  "vol_a3_per_atom": 23.0,
  "final_energy_ev_per_atom": -6.36,
  "e_form_ev_per_atom": 1.21,
  "lattice_angstrom": [[0.000, 3.255, 3.255], [3.255, 0.000, 3.255], [3.255, 3.255, 0.000]],
  "species": ["W", "Pd", "Ho"],
  "frac_coords": [[0.750, 0.750, 0.750], [0.250, 0.250, 0.250], [0.000, 0.000, 0.000]]
}


5.
{
  "formula": "PrGdS2",
  "functional": "PBE-GGA",
  "state": "optimized geometry",
  "vol_a3_per_atom": 23.1,
  "final_energy_ev_per_atom": -6.42,
  "lattice_angstrom": [[4.027, 0.000, 0.000], [0.000, 4.027, 0.000], [0.000, 0.000, 5.696]],
  "species": ["S", "Pr", "S", "Gd"],
  "frac_coords": [[0.000, 0.000, 0.500], [0.500, 0.500, 0.500], [0.500, 0.500, 0.000], [0.000, 0.000, 0.000]]
}


6.
{
  "formula": "HoCu",
  "functional": "PBE-GGA",
  "state": "optimized geometry",
  "vol_a3_per_atom": 20.5,
  "final_energy_ev_per_atom": -4.41,
  "e_form_ev_per_atom": -0.27,
  "lattice_angstrom": [[-1.438, 1.469, 2.766], [2.194, -1.700, 2.043], [2.236, 2.613, -0.226]],
  "species": ["Cu", "Ho"],
  "frac_coords": [[0.000, 0.000, 0.000], [0.500, 0.500, 0.500]]
}


7.
{
  "formula": "Er2Fe3",
  "functional": "PBE-GGA",
  "state": "optimized geometry",
  "vol_a3_per_atom": 17.3,
  "final_energy_ev_per_atom": -6.87,
  "e_form_ev_per_atom": -0.06,
  "lattice_angstrom": [[-4.305, 0.083, -3.245], [1.919, -4.451, 2.361], [-4.256, 1.176, 5.677]],
  "species": ["Er", "Er", "Er", "Er", "Fe", "Fe", "Fe", "Fe", "Fe", "Fe"],
  "frac_coords": [[0.839, 0.161, 0.901], [0.161, 0.839, 0.099], [0.661, 0.339, 0.401], [0.339, 0.661, 0.599], [0.664, 0.836, 0.250], [0.164, 0.336, 0.250], [0.836, 0.664, 0.750], [0.000, 0.000, 0.500], [0.500, 0.500, 0.000], [0.336, 0.164, 0.750]]
}


8.
{
  "formula": "BaMgTlAu",
  "functional": "PBE-GGA",
  "state": "optimized geometry",
  "vol_a3_per_atom": 27.7,
  "final_energy_ev_per_atom": -2.52,
  "lattice_angstrom": [[-3.809, -2.246, -3.081], [-5.182, 0.344, 1.442], [-3.378, 3.120, -2.811]],
  "species": ["Tl", "Mg", "Au", "Ba"],
  "frac_coords": [[0.500, 0.500, 0.500], [0.250, 0.250, 0.250], [0.750, 0.750, 0.750], [0.000, 0.000, 0.000]]
}


9.
{
  "formula": "TbHoCSe",
  "functional": "PBE-GGA",
  "state": "optimized geometry",
  "vol_a3_per_atom": 20.3,
  "final_energy_ev_per_atom": -6.63,
  "lattice_angstrom": [[3.760, 0.000, 0.000], [-1.880, 3.256, 0.000], [0.000, 0.000, 13.279]],
  "species": ["Ho", "C", "Tb", "Se", "Tb", "C", "Ho", "Se"],
  "frac_coords": [[0.333, 0.667, 0.099], [0.000, 0.000, 0.000], [0.667, 0.333, 0.602], [0.667, 0.333, 0.248], [0.333, 0.667, 0.398], [0.000, 0.000, 0.500], [0.667, 0.333, 0.901], [0.333, 0.667, 0.752]]
}


10.
{
  "formula": "CsTb2Cu3Te4S",
  "functional": "PBE-GGA",
  "state": "optimized geometry",
  "vol_a3_per_atom": 27.5,
  "final_energy_ev_per_atom": -4.37,
  "lattice_angstrom": [[-6.643, 4.086, -2.194], [6.227, -4.769, -2.029], [-10.055, -14.553, 3.343]],
  "species": ["Te", "Te", "Tb", "Tb", "Te", "Tb", "Te", "Cu", "Cu", "Te", "Te", "Cu", "Te", "Te", "Cs", "Cu", "Cu", "Cu", "Cs", "S", "Tb", "S"],
  "frac_coords": [[0.164, 0.836, 0.068], [0.557, 0.443, 0.879], [0.196, 0.804, 0.601], [0.804, 0.196, 0.101], [0.557, 0.443, 0.621], [0.196, 0.804, 0.899], [0.836, 0.164, 0.568], [0.418, 0.582, 0.977], [0.668, 0.332, 0.750], [0.836, 0.164, 0.932], [0.443, 0.557, 0.121], [0.582, 0.418, 0.477], [0.443, 0.557, 0.379], [0.164, 0.836, 0.432], [0.926, 0.074, 0.750], [0.582, 0.418, 0.023], [0.418, 0.582, 0.523], [0.332, 0.668, 0.250], [0.074, 0.926, 0.250], [0.231, 0.769, 0.750], [0.804, 0.196, 0.399], [0.769, 0.231, 0.250]]
}


11.
{
  "formula": "HoErSnB",
  "functional": "PBE-GGA",
  "state": "optimized geometry",
  "vol_a3_per_atom": 23.3,
  "final_energy_ev_per_atom": -5.22,
  "lattice_angstrom": [[-2.532, 0.082, -2.595], [0.315, -2.916, 2.133], [-10.634, 6.594, 10.583]],
  "species": ["Er", "Sn", "Ho", "Sn", "Er", "Ho", "B", "B"],
  "frac_coords": [[0.333, 0.667, 0.408], [0.667, 0.333, 0.251], [0.333, 0.667, 0.093], [0.333, 0.667, 0.749], [0.667, 0.333, 0.592], [0.667, 0.333, 0.907], [0.000, 0.000, 0.000], [0.000, 0.000, 0.500]]
}


12.
{
  "formula": "BaNaNb",
  "functional": "PBE-GGA",
  "state": "optimized geometry",
  "vol_a3_per_atom": 42.0,
  "final_energy_ev_per_atom": -2.88,
  "lattice_angstrom": [[-4.543, -2.110, 2.568], [-4.981, 2.566, -0.535], [-4.089, -2.398, -3.035]],
  "species": ["Na", "Ba", "Nb"],
  "frac_coords": [[0.250, 0.250, 0.250], [0.000, 0.000, 0.000], [0.750, 0.750, 0.750]]
}